1.
## Tm6NiHg (PBE)

Data for a relaxed structure of Tm6NiHg.

* DFT total energy: -4.14 eV per atom
* volume: 29.797 A^3/atom
* magnetic moment: 0.00 μB per formula unit
* ΔE_f: -0.02 eV/atom
* theoretical density: 8.87 g/cm3

The structure in CIF format:
```
data_Tm6NiHg
_cell_length_a 6.778
_cell_length_b 6.782
_cell_length_c 7.147
_cell_angle_alpha 90.05
_cell_angle_beta 118.23
_cell_angle_gamma 119.95
_space_group_name_H-M_alt 'P -1'
_space_group_IT_number 2
loop_
_space_group_symop_operation_xyz
'x,y,z'
'-x,-y,-z'
loop_
_atom_site_label
_atom_site_type_symbol
_atom_site_fract_x
_atom_site_fract_y
_atom_site_fract_z
Tm1 Tm 0.041 0.082 0.258
Tm2 Tm 0.299 0.717 0.258
Tm3 Tm 0.322 0.540 0.742
Ni1 Ni 0.500 0.500 0.500
Hg1 Hg 0.500 0.000 0.000
```



2.
## TmNi5Hg (PBE)

Data for a relaxed structure of TmNi5Hg.

* DFT total energy: -5.04 eV per atom
* volume: 14.285 A^3/atom
* magnetic moment: 1.06 μB per formula unit
* ΔE_f: -0.23 eV/atom
* theoretical density: 11.01 g/cm3

The structure in CIF format:
```
data_TmNi5Hg
_cell_length_a 8.051
_cell_length_b 4.817
_cell_length_c 10.313
_cell_angle_alpha 90.00
_cell_angle_beta 90.00
_cell_angle_gamma 90.00
_space_group_name_H-M_alt 'P n m a'
_space_group_IT_number 62
loop_
_space_group_symop_operation_xyz
'x,y,z'
'-x,-y,-z'
'-x+1/2,-y,z+1/2'
'x+1/2,y,-z+1/2'
'x+1/2,-y+1/2,-z+1/2'
'-x+1/2,y+1/2,z+1/2'
'-x,y+1/2,-z'
'x,-y+1/2,z'
loop_
_atom_site_label
_atom_site_type_symbol
_atom_site_fract_x
_atom_site_fract_y
_atom_site_fract_z
Tm1 Tm 0.249 0.250 0.062
Ni1 Ni 0.050 0.750 0.110
Ni2 Ni 0.069 0.000 0.314
Ni3 Ni 0.081 0.250 0.517
Ni4 Ni 0.188 0.250 0.739
Hg1 Hg 0.134 0.750 0.866
```



3.
## TmNiHg (PBE)

Data for a relaxed structure of TmNiHg.

* DFT total energy: -3.91 eV per atom
* volume: 20.083 A^3/atom
* magnetic moment: 0.00 μB per formula unit
* ΔE_f: -0.39 eV/atom
* theoretical density: 11.80 g/cm3

The structure in CIF format:
```
data_TmNiHg
_cell_length_a 12.425
_cell_length_b 3.880
_cell_length_c 5.091
_cell_angle_alpha 90.00
_cell_angle_beta 100.92
_cell_angle_gamma 90.00
_space_group_name_H-M_alt 'C 1 2/m 1'
_space_group_IT_number 12
loop_
_space_group_symop_operation_xyz
'x,y,z'
'-x,-y,-z'
'-x,y,-z'
'x,-y,z'
'x+1/2,y+1/2,z'
'-x+1/2,-y+1/2,-z'
'-x+1/2,y+1/2,-z'
'x+1/2,-y+1/2,z'
loop_
_atom_site_label
_atom_site_type_symbol
_atom_site_fract_x
_atom_site_fract_y
_atom_site_fract_z
Tm1 Tm 0.135 0.000 0.316
Ni1 Ni 0.232 0.000 0.854
Hg1 Hg 0.076 0.500 0.778
```



4.
## Tm5NiHg2 (PBE)

Data for a relaxed structure of Tm5NiHg2.

* DFT total energy: -3.95 eV per atom
* volume: 24.894 A^3/atom
* excess energy over the best structure of this formula in the dataset: 0 meV/atom
* magnetic moment: 0.00 μB per formula unit
* ΔE_f: -0.36 eV/atom
* theoretical density: 10.88 g/cm3

The structure in CIF format:
```
data_Tm5NiHg2
_cell_length_a 6.930
_cell_length_b 11.895
_cell_length_c 4.832
_cell_angle_alpha 90.00
_cell_angle_beta 90.00
_cell_angle_gamma 90.00
_space_group_name_H-M_alt 'P b a m'
_space_group_IT_number 55
loop_
_space_group_symop_operation_xyz
'x,y,z'
'-x,-y,-z'
'-x,-y,z'
'x,y,-z'
'x+1/2,-y+1/2,-z'
'-x+1/2,y+1/2,z'
'-x+1/2,y+1/2,-z'
'x+1/2,-y+1/2,z'
loop_
_atom_site_label
_atom_site_type_symbol
_atom_site_fract_x
_atom_site_fract_y
_atom_site_fract_z
Tm1 Tm 0.000 0.000 0.000
Tm2 Tm 0.134 0.293 0.000
Tm3 Tm 0.174 0.587 0.500
Ni1 Ni 0.000 0.500 0.000
Hg1 Hg 0.093 0.842 0.500
```



5.
## Tm11Ni4Hg9 (PBE)

Data for a relaxed structure of Tm11Ni4Hg9.

* DFT total energy: -3.62 eV per atom
* volume: 22.369 A^3/atom
* magnetic moment: 0.00 μB per formula unit
* ΔE_f: -0.50 eV/atom
* theoretical density: 12.06 g/cm3

The structure in CIF format:
```
data_Tm11Ni4Hg9
_cell_length_a 14.239
_cell_length_b 21.366
_cell_length_c 3.529
_cell_angle_alpha 90.00
_cell_angle_beta 90.00
_cell_angle_gamma 90.00
_space_group_name_H-M_alt 'C m m m'
_space_group_IT_number 65
_space_group_name_Hall '-C 2 2'
loop_
_atom_site_label
_atom_site_type_symbol
_atom_site_fract_x
_atom_site_fract_y
_atom_site_fract_z
Tm1 Tm 0.000 0.000 0.000
Tm2 Tm 0.000 0.164 0.000
Tm3 Tm 0.000 0.372 0.000
Tm4 Tm 0.193 0.500 0.000
Tm5 Tm 0.250 0.167 0.000
Ni1 Ni 0.148 0.401 0.500
Hg1 Hg 0.000 0.500 0.500
Hg2 Hg 0.108 0.262 0.500
Hg3 Hg 0.145 0.073 0.500
```



6.
## TmNi2Hg (PBE)

Data for a relaxed structure of TmNi2Hg.

* DFT total energy: -4.34 eV per atom
* volume: 16.655 A^3/atom
* excess energy over the best structure of this formula in the dataset: 0 meV/atom
* magnetic moment: 0.00 μB per formula unit
* ΔE_f: -0.26 eV/atom
* theoretical density: 12.14 g/cm3

The structure in CIF format:
```
data_TmNi2Hg
_cell_length_a 6.435
_cell_length_b 6.435
_cell_length_c 6.435
_cell_angle_alpha 90.00
_cell_angle_beta 90.00
_cell_angle_gamma 90.00
_space_group_name_H-M_alt 'F m -3 m'
_space_group_IT_number 225
_space_group_name_Hall '-F 4 2 3'
loop_
_atom_site_label
_atom_site_type_symbol
_atom_site_fract_x
_atom_site_fract_y
_atom_site_fract_z
Tm1 Tm 0.000 0.000 0.000
Ni1 Ni 0.250 0.250 0.250
Hg1 Hg 0.000 0.000 0.500
```



7.
## Tm5NiHg2 (PBE)

Data for a relaxed structure of Tm5NiHg2.

* DFT total energy: -3.73 eV per atom
* volume: 26.168 A^3/atom
* excess energy over the best structure of this formula in the dataset: 220 meV/atom
* magnetic moment: 0.00 μB per formula unit
* ΔE_f: -0.14 eV/atom
* theoretical density: 10.35 g/cm3

The structure in CIF format:
```
data_Tm5NiHg2
_cell_length_a 5.584
_cell_length_b 12.174
_cell_length_c 12.319
_cell_angle_alpha 90.00
_cell_angle_beta 90.00
_cell_angle_gamma 90.00
_space_group_name_H-M_alt 'C m c m'
_space_group_IT_number 63
_space_group_name_Hall '-C 2c 2'
loop_
_atom_site_label
_atom_site_type_symbol
_atom_site_fract_x
_atom_site_fract_y
_atom_site_fract_z
Tm1 Tm 0.000 0.072 0.107
Tm2 Tm 0.000 0.377 0.066
Tm3 Tm 0.000 0.394 0.750
Ni1 Ni 0.000 0.236 0.250
Hg1 Hg 0.000 0.182 0.626
```



8.
## Tm4NiHg (PBE)

Data for a relaxed structure of Tm4NiHg.

* DFT total energy: -4.18 eV per atom
* volume: 27.490 A^3/atom
* excess energy over the best structure of this formula in the dataset: 187 meV/atom
* magnetic moment: 0.00 μB per formula unit
* ΔE_f: -0.18 eV/atom
* theoretical density: 9.41 g/cm3

The structure in CIF format:
```
data_Tm4NiHg
_cell_length_a 6.971
_cell_length_b 6.951
_cell_length_c 6.830
_cell_angle_alpha 90.00
_cell_angle_beta 94.62
_cell_angle_gamma 90.00
_space_group_name_H-M_alt 'P 1 21/c 1'
_space_group_IT_number 14
loop_
_space_group_symop_operation_xyz
'x,y,z'
'-x,-y,-z'
'-x,y+1/2,-z+1/2'
'x,-y+1/2,z+1/2'
loop_
_atom_site_label
_atom_site_type_symbol
_atom_site_fract_x
_atom_site_fract_y
_atom_site_fract_z
Tm1 Tm 0.142 0.164 0.185
Tm2 Tm 0.320 0.646 0.116
Ni1 Ni 0.000 0.000 0.500
Hg1 Hg 0.500 0.000 0.000
```



9.
## TmNiHg (PBE)

Data for a relaxed structure of TmNiHg.

* DFT total energy: -3.85 eV per atom
* volume: 21.018 A^3/atom
* magnetic moment: 0.00 μB per formula unit
* ΔE_f: -0.33 eV/atom
* theoretical density: 11.28 g/cm3

The structure in CIF format:
```
data_TmNiHg
_cell_length_a 7.780
_cell_length_b 4.483
_cell_length_c 7.677
_cell_angle_alpha 90.00
_cell_angle_beta 109.63
_cell_angle_gamma 90.00
_space_group_name_H-M_alt 'C 1 2/m 1'
_space_group_IT_number 12
loop_
_space_group_symop_operation_xyz
'x,y,z'
'-x,-y,-z'
'-x,y,-z'
'x,-y,z'
'x+1/2,y+1/2,z'
'-x+1/2,-y+1/2,-z'
'-x+1/2,y+1/2,-z'
'x+1/2,-y+1/2,z'
loop_
_atom_site_label
_atom_site_type_symbol
_atom_site_fract_x
_atom_site_fract_y
_atom_site_fract_z
Tm1 Tm 0.246 0.000 0.239
Ni1 Ni 0.129 0.500 0.385
Hg1 Hg 0.000 0.000 0.500
Hg2 Hg 0.000 0.500 0.000
```



10.
## TmNi2Hg (PBE)

Data for a relaxed structure of TmNi2Hg.

* DFT total energy: -4.28 eV per atom
* volume: 16.816 A^3/atom
* excess energy over the best structure of this formula in the dataset: 67 meV/atom
* magnetic moment: 0.00 μB per formula unit
* ΔE_f: -0.19 eV/atom
* theoretical density: 12.02 g/cm3

The structure in CIF format:
```
data_TmNi2Hg
_cell_length_a 4.346
_cell_length_b 4.346
_cell_length_c 3.561
_cell_angle_alpha 90.00
_cell_angle_beta 90.00
_cell_angle_gamma 90.00
_space_group_name_H-M_alt 'P 4/m m m'
_space_group_IT_number 123
_space_group_name_Hall '-P 4 2'
loop_
_atom_site_label
_atom_site_type_symbol
_atom_site_fract_x
_atom_site_fract_y
_atom_site_fract_z
Tm1 Tm 0.000 0.000 0.000
Ni1 Ni 0.000 0.500 0.500
Hg1 Hg 0.500 0.500 0.000
```